1.
Sr2ZrSiRu at its PBEsol-relaxed geometry. Source: Alexandria via LeMat-Bulk, functional meta-GGA SCAN.

Unit cell a=5.5957 b=5.5957 c=4.5758 alpha=90.00 beta=90.00 gamma=90.00
With the nearest neighbours (Å) after each atom.
Element x y z (fractional)
Sr 0.0000 0.5000 0.0000  2 Ru 2.80
Sr 0.5000 0.0000 0.0000  2 Ru 2.80
Zr 0.0000 0.0000 0.5000  8 Sr 3.61, 4 Si 3.96
Si 0.5000 0.5000 0.5000  2 Ru 2.29
Ru 0.5000 0.5000 0.0000  2 Si 2.29

## Properties
- E_form (uncorrected): 13.8 kcal/mol of atoms
- N(E_F): 5.98 states/eV per cell


2.
BeCuAg3 at its PBEsol-relaxed geometry. Source: Alexandria via LeMat-Bulk, functional meta-GGA SCAN.

Unit cell a=4.6207 b=4.6207 c=4.6207 alpha=90.00 beta=90.00 gamma=90.00
With the nearest neighbours (Å) after each atom.
Element x y z (fractional)
Be 0.0000 0.0000 0.0000  12 Ag 3.27
Cu 0.5000 0.5000 0.5000  6 Ag 2.31
Ag 0.0000 0.5000 0.5000  2 Cu 2.31
Ag 0.5000 0.0000 0.5000  2 Cu 2.31
Ag 0.5000 0.5000 0.0000  2 Cu 2.31

## Properties
- Energy of formation: 1050 meV/atom
- N(E_F): 1.75 states/eV per cell


3.
LiBiO2 at its PBEsol-relaxed geometry. Source: Alexandria via LeMat-Bulk, functional meta-GGA SCAN.

Unit cell a=6.2289 b=6.2289 c=6.2289 alpha=134.59 beta=134.59 gamma=66.18
With the nearest neighbours (Å) after each atom.
Element x y z (fractional)
Li 0.0000 0.0000 0.0000  4 O 2.05
Li 0.7500 0.2500 0.5000  4 O 2.05
Bi 0.2500 0.7500 0.5000  4 O 2.25
Bi 0.5000 0.5000 0.0000  4 O 2.25
O 0.0876 0.6250 0.9626  2 Li 2.05, 2 Bi 2.25
O 0.3750 0.3376 0.4626  2 Li 2.05, 2 Bi 2.25
O 0.6624 0.1250 0.0374  2 Li 2.05, 2 Bi 2.25
O 0.8750 0.9124 0.5374  2 Li 2.05, 2 Bi 2.25

## Properties
- E_form (uncorrected): -30.4 kcal/mol of atoms
- N(E_F): 0.00 states/eV per cell


4.
Tm2MgS4 at its PBEsol-relaxed geometry. Source: Alexandria via LeMat-Bulk, functional meta-GGA SCAN.

Unit cell a=7.7292 b=7.7292 c=7.7292 alpha=60.00 beta=60.00 gamma=60.00
With the nearest neighbours (Å) after each atom.
Element x y z (fractional)
Tm 0.0000 0.0000 0.0000  6 S 2.67
Tm 0.0000 0.0000 0.5000  6 S 2.67
Tm 0.0000 0.5000 0.0000  6 S 2.67
Tm 0.5000 0.0000 0.0000  6 S 2.67
Mg 0.3750 0.3750 0.3750  4 S 2.47
Mg 0.6250 0.6250 0.6250  4 S 2.47
S 0.2332 0.7556 0.7556  1 Mg 2.47, 3 Tm 2.67
S 0.2444 0.2444 0.2444  1 Mg 2.47, 3 Tm 2.67
S 0.2444 0.2444 0.7668  1 Mg 2.47, 3 Tm 2.67
S 0.2444 0.7668 0.2444  1 Mg 2.47, 3 Tm 2.67
S 0.7556 0.2332 0.7556  1 Mg 2.47, 3 Tm 2.67
S 0.7556 0.7556 0.2332  1 Mg 2.47, 3 Tm 2.67
S 0.7556 0.7556 0.7556  1 Mg 2.47, 3 Tm 2.67
S 0.7668 0.2444 0.2444  1 Mg 2.47, 3 Tm 2.67

## Properties
- E_form (uncorrected): -50.0 kcal/mol of atoms
- N(E_F): 0.00 states/eV per cell


5.
ReNi2W at its PBEsol-relaxed geometry. Source: Alexandria via LeMat-Bulk, functional meta-GGA SCAN.

Unit cell a=8.6613 b=8.6613 c=8.6613 alpha=17.62 beta=17.62 gamma=17.62
With the nearest neighbours (Å) after each atom.
Element x y z (fractional)
Re 0.0000 0.0000 0.0000  6 Ni 2.60, 6 Re 2.65
Ni 0.2510 0.2510 0.2510  3 Re 2.60, 3 W 2.65, 6 Ni 2.65
Ni 0.7490 0.7490 0.7490  3 Re 2.60, 3 W 2.65, 6 Ni 2.65
W 0.5000 0.5000 0.5000  6 Ni 2.65, 6 W 2.65

## Properties
- Energy of formation: 222 meV/atom
- N(E_F): 4.02 states/eV per cell


6.
In4Ag5 at its PBEsol-relaxed geometry. Source: Alexandria via LeMat-Bulk, functional meta-GGA SCAN.

Unit cell a=6.7398 b=6.7398 c=6.7398 alpha=95.62 beta=95.62 gamma=143.53
With the nearest neighbours (Å) after each atom.
Element x y z (fractional)
In 0.0000 0.3189 0.3189  7 Ag 2.89-3.04, 4 In 3.13
In 0.0000 0.6811 0.6811  7 Ag 2.89-3.04, 4 In 3.13
In 0.3189 0.0000 0.3189  7 Ag 2.89-3.04, 4 In 3.13
In 0.6811 0.0000 0.6811  7 Ag 2.89-3.04, 4 In 3.13
Ag 0.0000 0.0000 0.0000  4 In 2.89, 8 Ag 2.98
Ag 0.3359 0.3359 0.6718  6 In 2.94-3.04, 6 Ag 2.97-3.05
Ag 0.3359 0.6641 0.0000  6 In 2.94-3.04, 6 Ag 2.97-3.05
Ag 0.6641 0.3359 0.0000  6 In 2.94-3.04, 6 Ag 2.97-3.05
Ag 0.6641 0.6641 0.3282  6 In 2.94-3.04, 6 Ag 2.97-3.05

## Properties
- Energy of formation: 28 meV/atom
- N(E_F): 2.86 states/eV per cell


7.
KCaIr2 at its PBEsol-relaxed geometry. Source: Alexandria via LeMat-Bulk, functional meta-GGA SCAN.

Unit cell a=5.0457 b=5.0457 c=6.7839 alpha=94.44 beta=94.44 gamma=32.46
With the nearest neighbours (Å) after each atom.
Element x y z (fractional)
K 0.0000 0.0000 0.0000  2 K 2.82
Ca 0.5000 0.5000 0.5000  6 Ir 2.79-2.88, 2 Ca 2.82
Ir 0.2435 0.2435 0.6583  4 Ir 2.58-2.82, 3 Ca 2.79-2.88
Ir 0.7565 0.7565 0.3417  4 Ir 2.58-2.82, 3 Ca 2.79-2.88

## Properties
- Energy of formation: 374 meV/atom
- N(E_F): 1.29 states/eV per cell
- Relative energy among the computed polymorphs: 0.0000 eV/atom


8.
SrTlCrAs2 at its PBEsol-relaxed geometry. Source: Alexandria via LeMat-Bulk, functional meta-GGA SCAN.

Unit cell a=5.3003 b=5.3003 c=5.8146 alpha=90.00 beta=90.00 gamma=90.00
With the nearest neighbours (Å) after each atom.
Element x y z (fractional)
Sr 0.0000 0.0000 0.0000  2 Tl 2.91
Tl 0.0000 0.0000 0.5000  4 As 2.65, 2 Sr 2.91
Cr 0.5000 0.5000 0.0000  4 Sr 3.75, 8 As 3.93
As 0.0000 0.5000 0.5000  2 Tl 2.65
As 0.5000 0.0000 0.5000  2 Tl 2.65

## Properties
- Energy of formation: 774 meV/atom
- N(E_F): 2.85 states/eV per cell